The following is a GGA-PBE calculation of Sm2HoZr after structural relaxation, from Alexandria.

abc: 4.8834 4.9256 4.9256
angles: 90.00 90.00 90.00
Closest atoms and distances in Å follow each position.
Fractional coordinates of all 4 atoms:
1 Zr 0.5000 0.0000 0.0000  8 Sm 3.47, 4 Ho 3.48
2 Ho 0.5000 0.5000 0.5000  8 Sm 3.47, 4 Zr 3.48
3 Sm 0.0000 0.0000 0.5000  4 Ho 3.47, 4 Zr 3.47, 4 Sm 3.48
4 Sm 0.0000 0.5000 0.0000  4 Zr 3.47, 4 Ho 3.47, 4 Sm 3.48

Values from the calculation:
space group = P4/mmm, No. 123
ΔE to the lowest computed polymorph = 5 meV/atom
DFT formation energy = 0.11 eV per atom


The following is a GGA-PBE calculation of TmInNi after structural relaxation, from Alexandria.

abc: 3.6494 7.5623 12.9892
angles: 90.00 90.00 90.00
Closest atoms and distances in Å follow each position.
Fractional coordinates of all 18 atoms:
1 Tm 0.0000 0.2162 0.9549  4 Ni 2.81-2.84
2 Tm 0.0000 0.7838 0.0451  4 Ni 2.81-2.84
3 Tm 0.0000 0.2162 0.5451  4 Ni 2.81-2.84
4 Tm 0.0000 0.7838 0.4549  4 Ni 2.81-2.84
5 Tm 0.0000 0.1535 0.2500  5 Ni 2.84-3.01, 2 In 3.17
6 Tm 0.0000 0.8465 0.7500  5 Ni 2.84-3.01, 2 In 3.17
7 In 0.5000 0.4299 0.1168  3 Ni 2.68-2.82
8 In 0.5000 0.5701 0.8832  3 Ni 2.68-2.82
9 In 0.5000 0.4299 0.3832  3 Ni 2.68-2.82
10 In 0.5000 0.5701 0.6168  3 Ni 2.68-2.82
11 In 0.5000 0.8100 0.2500  4 Ni 2.67-2.79
12 In 0.5000 0.1900 0.7500  4 Ni 2.67-2.79
13 Ni 0.5000 0.0598 0.0921  1 Ni 2.56, 2 In 2.79-2.82, 6 Tm 2.81-2.84
14 Ni 0.5000 0.9402 0.9079  1 Ni 2.56, 2 In 2.79-2.82, 6 Tm 2.81-2.84
15 Ni 0.5000 0.0598 0.4079  1 Ni 2.56, 2 In 2.79-2.82, 6 Tm 2.81-2.84
16 Ni 0.5000 0.9402 0.5921  1 Ni 2.56, 2 In 2.79-2.82, 6 Tm 2.81-2.84
17 Ni 0.0000 0.5519 0.2500  6 In 2.67-2.68
18 Ni 0.0000 0.4481 0.7500  6 In 2.67-2.68

Values from the calculation:
space group = Pmma, No. 51
DFT formation energy = -0.51 eV per atom


The following is a GGA-PBE calculation of UIr4 after structural relaxation, from Alexandria.

abc: 4.2138 5.6652 7.7273
angles: 111.50 105.82 90.00
Closest atoms and distances in Å follow each position.
Fractional coordinates of all 10 atoms:
1 U 0.8912 0.1412 0.7824  13 Ir 2.83-3.07
2 U 0.1088 0.8588 0.2176  13 Ir 2.83-3.07
3 Ir 0.1051 0.3551 0.2101  10 Ir 2.79-3.06, 3 U 2.83-2.94
4 Ir 0.8949 0.6449 0.7899  10 Ir 2.79-3.06, 3 U 2.83-2.94
5 Ir 0.5000 0.0000 0.0000  8 Ir 2.69-2.92, 4 U 2.95
6 Ir 0.5000 0.5000 0.0000  8 Ir 2.69-2.92, 4 U 2.95
7 Ir 0.6955 0.2073 0.3909  6 Ir 2.59-2.79, 2 U 2.84
8 Ir 0.3045 0.7927 0.6091  6 Ir 2.59-2.79, 2 U 2.84
9 Ir 0.3045 0.3164 0.6091  6 Ir 2.59-2.79, 2 U 2.84
10 Ir 0.6955 0.6836 0.3909  6 Ir 2.59-2.79, 2 U 2.84

Values from the calculation:
space group = Imma, No. 74
ΔE to the lowest computed polymorph = 0 meV/atom
DFT formation energy = -0.45 eV per atom